Density functional theory data (PBE-GGA) for a relaxed structure of PmSm4Sb5.

CIF file:
```
data_PmSm4Sb5
_chemical_formula_sum 'Pm1 Sm4 Sb5'
_cell_length_a 16.123
_cell_length_b 16.123
_cell_length_c 16.123
_cell_angle_alpha 164.06
_cell_angle_beta 164.06
_cell_angle_gamma 22.62
_space_group_name_H-M_alt 'P 1'
_space_group_IT_number 1
loop_
_space_group_symop_operation_xyz
'x,y,z'
loop_
_atom_site_label
_atom_site_type_symbol
_atom_site_fract_x
_atom_site_fract_y
_atom_site_fract_z
_atom_site_occupancy
Pm1 Pm 0.000 0.000 0.000 1
Sm1 Sm 0.200 0.200 0.000 1
Sm2 Sm 0.400 0.400 0.000 1
Sm3 Sm 0.600 0.600 0.000 1
Sm4 Sm 0.800 0.800 0.000 1
Sb1 Sb 0.100 0.100 0.000 1
Sb2 Sb 0.300 0.300 0.000 1
Sb3 Sb 0.500 0.500 0.000 1
Sb4 Sb 0.700 0.700 0.000 1
Sb5 Sb 0.900 0.900 0.000 1
```

E in eV/cell: -56.03
Space-group type: I4/mmm, No. 139
Total magnetic moment in μB per formula unit: 0.01